## one
The following is a PBE-GGA calculation of an optimized crystal structure of CrIr2Os, from the Alexandria database.

## Properties
Calculated density   18.9 Mg/m³
Symmetry   No. 25
Density of states at the Fermi level   0.757 states/eV per atom

Cell: 4.2936 2.7179 4.7275 Å, 90.00 90.00 90.00°
Fractional positions:
Cr 0.5000 0.6249 0.7848
Ir 0.0000 0.1249 0.9539
Ir 0.5000 0.1252 0.2967
Os 0.0000 0.6251 0.4645

=====

## two
The following is a PBE-GGA calculation of an optimized crystal structure of CrIr2Os, from the Alexandria database.

## Properties
Calculated density   16.8 Mg/m³
Symmetry   No. 122
Density of states at the Fermi level   1.078 states/eV per atom

Cell: 3.7535 3.7535 9.1827 Å, 78.21 78.21 90.00°
Fractional positions:
Cr 0.5000 0.5000 0.0000
Cr 0.2500 0.7500 0.5000
Ir 0.6178 0.1250 0.2500
Ir 0.1322 0.6250 0.2500
Ir 0.3750 0.3822 0.7500
Ir 0.8750 0.8678 0.7500
Os 0.0000 0.0000 0.0000
Os 0.7500 0.2500 0.5000

=====

Computed relative energies in units of eV/atom: one 0.000; two 0.701